Ba2CaY: optimized geometry, PBE-GGA.

Cell: 4.3729 6.5851 13.1231 Å, 90.00 90.00 90.00°
Closest atoms and distances in Å follow each position.
Space group Imm2 (No. 44)
Unique sites:
1 Ba 0.0000 0.0000 0.0000  4 Y 3.96, 2 Ca 4.03, 6 Ba 4.21-4.43
2 Ba 0.0000 0.5000 0.2254  2 Y 3.89, 4 Ca 3.98, 2 Ba 4.21
3 Ca 0.0000 0.5000 0.7583  2 Y 3.64, 6 Ba 3.98-4.03
4 Y 0.0000 0.0000 0.4803  2 Ca 3.64, 6 Ba 3.89-3.96

calculated total energy	-2.898	eV/atom
energy relative to the elements	0.72	eV/f.u.

---

Na17AlCd11: optimized geometry, PBE-GGA.

Cell: 11.6774 16.5175 10.0821 Å, 90.00 125.03 90.00°
Closest atoms and distances in Å follow each position.
Space group Cm (No. 8)
Unique sites:
1 Na 0.0000 0.0000 0.0000  4 Na 3.31-3.52, 6 Cd 3.42-3.50
2 Na 0.0033 0.0000 0.6531  11 Cd 3.40-3.53, 1 Al 3.46, 4 Na 3.52-3.55
3 Na 0.0652 0.3449 0.0566  7 Na 3.29-3.56, 4 Cd 3.31-3.49, 1 Al 3.34
4 Na 0.1543 0.5000 0.3016  4 Na 3.29-3.55, 6 Cd 3.44-3.45
5 Na 0.1615 0.1565 0.2438  7 Na 3.31-3.57, 5 Cd 3.32-3.49
6 Na 0.1779 0.1746 0.6527  4 Na 3.29-3.53, 5 Cd 3.35-3.44, 1 Al 3.42
7 Na 0.1838 0.5000 0.9300  1 Al 3.31, 7 Na 3.34-3.57, 4 Cd 3.38-3.46
8 Na 0.2994 0.2959 0.9668  5 Cd 3.29-3.46, 7 Na 3.30-3.57
9 Na 0.4079 0.0000 0.3703  7 Na 3.32-3.55, 5 Cd 3.39-3.46
10 Na 0.4557 0.1383 0.6551  7 Na 3.29-3.58, 4 Cd 3.30-3.40, 1 Al 3.46
11 Na 0.4859 0.2036 0.3375  7 Na 3.32-3.58, 5 Cd 3.34-3.45
12 Al 0.3605 0.0000 0.8329  3 Cd 2.80-2.90
13 Cd 0.0056 0.1802 0.8361  3 Cd 2.96-3.05
14 Cd 0.1920 0.0000 0.4932  1 Al 2.80, 2 Cd 3.07
15 Cd 0.2277 0.4109 0.6512  3 Cd 2.94-3.05
16 Cd 0.2743 0.0914 0.0072  1 Al 2.90, 2 Cd 2.96-3.02
17 Cd 0.3232 0.3191 0.4684  3 Cd 2.95-3.05
18 Cd 0.4132 0.4085 0.2891  3 Cd 2.95-3.07, 1 Na 3.29

calculated total energy	-1.311	eV/atom
energy relative to the elements	-1.77	eV/f.u.

---

Ga2BIr: optimized geometry, PBE-GGA.

Cell: 7.8116 7.8116 4.1142 Å, 90.00 90.00 90.00°
Closest atoms and distances in Å follow each position.
Space group I-42d (No. 122)
Unique sites:
1 Ga 0.1214 0.2500 0.1250  2 B 2.23
2 B 0.0000 0.0000 0.0000  2 Ir 2.06, 4 Ga 2.23
3 Ir 0.0000 0.0000 0.5000  2 B 2.06

calculated total energy	-5.097	eV/atom
energy relative to the elements	1.21	eV/f.u.

---

ZrNOF2: optimized geometry, PBE-GGA.

Cell: 3.8079 3.8079 3.7741 Å, 90.00 90.00 90.00°
Closest atoms and distances in Å follow each position.
Space group P4/mmm (No. 123)
Unique sites:
1 Zr 0.0000 0.0000 0.0000  8 F 2.68, 4 O 2.69
2 N 0.5000 0.5000 0.5000  2 O 1.89, 4 F 1.90
3 O 0.5000 0.5000 0.0000  2 N 1.89
4 F 0.0000 0.5000 0.5000  2 N 1.90

E_form (uncorrected)	-0.091	eV per atom
calculated total energy	-5.206	eV/atom